[1]
LiHfGe2O6 | PBE-GGA | relaxed

Results
Uncorrected formation energy   -2102 meV/atom
Electronic total energy   -7.187 eV/atom
Crystal system   monoclinic

Unit cell a=10.290 b=9.311 c=5.360 alpha=90.00 beta=101.01 gamma=90.00
Space group C2/c (No. 15)
Inequivalent atoms, fractional coordinates:
Li: 0.000 0.184 0.250 x4
Hf: 0.000 0.395 0.750 x4
Ge: 0.199 0.094 0.807 x8
O: 0.115 0.245 0.632 x8
O: 0.116 0.429 0.112 x8
O: 0.142 0.062 0.108 x8

---

[2]
HoBeCd | PBE-GGA | relaxed

Results
DFT formation energy   0.02 eV per atom
Electronic total energy   -3.050 eV/atom
Crystal system   orthorhombic

Unit cell a=5.020 b=8.113 c=5.906 alpha=90.00 beta=90.00 gamma=90.00
Space group Cmcm (No. 63)
Inequivalent atoms, fractional coordinates:
Ho: 0.000 0.157 0.250 x4
Be: 0.000 0.189 0.750 x4
Cd: 0.000 0.500 0.000 x4

---

[3]
Mg2As2Pd | PBE-GGA | relaxed

Results
DFT formation energy   -0.39 eV per atom
Electronic total energy   -3.930 eV/atom
Crystal system   tetragonal

Unit cell a=6.893 b=6.893 c=3.994 alpha=90.00 beta=90.00 gamma=90.00
Space group P4/mbm (No. 127)
Inequivalent atoms, fractional coordinates:
Mg: 0.162 0.338 0.000 x4
As: 0.150 0.650 0.500 x4
Pd: 0.000 0.000 0.500 x2

---

What is the electronic total energy in the first record?
-7.187 eV/atom

---

Repeat the third record exactly.
Mg2As2Pd | PBE-GGA | relaxed

Results
DFT formation energy   -0.39 eV per atom
Electronic total energy   -3.930 eV/atom
Crystal system   tetragonal

Unit cell a=6.893 b=6.893 c=3.994 alpha=90.00 beta=90.00 gamma=90.00
Space group P4/mbm (No. 127)
Inequivalent atoms, fractional coordinates:
Mg: 0.162 0.338 0.000 x4
As: 0.150 0.650 0.500 x4
Pd: 0.000 0.000 0.500 x2

---

What is the electronic total energy in the third record?
-3.930 eV/atom

---

Among the records above, which one has the lowest electronic total energy?
LiHfGe2O6